No. 1
A relaxed K2Te2Se5 crystal, computed with PBE-GGA.

Unit cell a=5.4113 b=8.8304 c=8.3119 alpha=109.98 beta=90.00 gamma=107.84
Element x y z (fractional)
Se (0.9221, 0.8441, 0.3898)
K (0.4570, 0.9140, 0.7079)
Se (0.6752, 0.3503, 0.0452)
Se (0.3248, 0.6497, 0.9548)
Te (0.8442, 0.6883, 0.0518)
Se (0.0000, 0.0000, 0.0000)
Se (0.0779, 0.1559, 0.6102)
K (0.5430, 0.0860, 0.2921)
Te (0.1558, 0.3117, 0.9482)

* SG: C2/m (12)
* E_form (uncorrected): -412.4 meV/atom
* V: 39.2 A^3/atom
* calculated density: 3.43 g/cm³

No. 2
A relaxed CeSi2Pd3 crystal, computed with PBE-GGA.

Unit cell a=4.0678 b=7.9961 c=7.4071 alpha=114.61 beta=90.00 gamma=104.74
Element x y z (fractional)
Pd (0.0416, 0.0832, 0.3588)
Si (0.4818, 0.9636, 0.8313)
Si (0.1875, 0.3750, 0.6784)
Ce (0.1548, 0.3096, 0.0723)
Pd (0.9584, 0.9168, 0.6412)
Si (0.8125, 0.6250, 0.3216)
Pd (0.6831, 0.3662, 0.4305)
Pd (0.3993, 0.7986, 0.3021)
Si (0.5182, 0.0364, 0.1687)
Pd (0.3169, 0.6338, 0.5695)
Pd (0.6007, 0.2014, 0.6979)
Ce (0.8452, 0.6904, 0.9277)

* SG: C2/m (12)
* E_form (uncorrected): -804.0 meV/atom
* V: 17.5 A^3/atom
* calculated density: 8.14 g/cm³